Entry 1:
Ba3ZrFe | GGA-PBE | optimized geometry

Crystal system = cubic

The structure in CIF format:
```
data_Ba3ZrFe
_chemical_formula_sum 'Ba3 Zr1 Fe1'
_space_group_name_H-M_alt 'P 1'
_space_group_IT_number 1
_space_group_name_Hall 'P 1'
_cell_length_a 5.805
_cell_length_b 5.805
_cell_length_c 5.805
_cell_angle_alpha 90.00
_cell_angle_beta 90.00
_cell_angle_gamma 90.00
loop_
_atom_site_label
_atom_site_fract_x
_atom_site_fract_y
_atom_site_fract_z
Ba1 0.000 0.000 0.500
Ba2 0.000 0.500 0.000
Ba3 0.500 0.000 0.000
Zr1 0.500 0.500 0.500
Fe1 0.000 0.000 0.000
```

***

Entry 2:
BaZrFe3 | GGA-PBE | optimized geometry

Crystal system = cubic
Offset from the most stable computed form = 1.075 eV per atom

The structure in CIF format:
```
data_BaZrFe3
_chemical_formula_sum 'Ba1 Zr1 Fe3'
_space_group_name_H-M_alt 'P 1'
_space_group_IT_number 1
_space_group_name_Hall 'P 1'
_cell_length_a 4.842
_cell_length_b 4.842
_cell_length_c 4.842
_cell_angle_alpha 90.00
_cell_angle_beta 90.00
_cell_angle_gamma 90.00
loop_
_atom_site_label
_atom_site_fract_x
_atom_site_fract_y
_atom_site_fract_z
Ba1 0.000 0.000 0.000
Zr1 0.500 0.500 0.500
Fe1 0.000 0.000 0.500
Fe2 0.000 0.500 0.000
Fe3 0.500 0.000 0.000
```

***

Entry 3:
Ba4ZrFe | GGA-PBE | optimized geometry

Crystal system = cubic

The structure in CIF format:
```
data_Ba4ZrFe
_chemical_formula_sum 'Ba4 Zr1 Fe1'
_space_group_name_H-M_alt 'P 1'
_space_group_IT_number 1
_space_group_name_Hall 'P 1'
_cell_length_a 7.143
_cell_length_b 7.143
_cell_length_c 7.143
_cell_angle_alpha 60.00
_cell_angle_beta 60.00
_cell_angle_gamma 60.00
loop_
_atom_site_label
_atom_site_fract_x
_atom_site_fract_y
_atom_site_fract_z
Ba1 0.125 0.125 0.125
Ba2 0.125 0.125 0.625
Ba3 0.125 0.625 0.125
Ba4 0.625 0.125 0.125
Zr1 0.500 0.500 0.500
Fe1 0.750 0.750 0.750
```

***

Entry 4:
BaZrFe4 | GGA-PBE | optimized geometry

Crystal system = cubic

The structure in CIF format:
```
data_BaZrFe4
_chemical_formula_sum 'Ba1 Zr1 Fe4'
_space_group_name_H-M_alt 'P 1'
_space_group_IT_number 1
_space_group_name_Hall 'P 1'
_cell_length_a 5.218
_cell_length_b 5.218
_cell_length_c 5.218
_cell_angle_alpha 60.00
_cell_angle_beta 60.00
_cell_angle_gamma 60.00
loop_
_atom_site_label
_atom_site_fract_x
_atom_site_fract_y
_atom_site_fract_z
Ba1 0.000 0.000 0.000
Zr1 0.250 0.250 0.250
Fe1 0.130 0.623 0.623
Fe2 0.623 0.130 0.623
Fe3 0.623 0.623 0.130
Fe4 0.623 0.623 0.623
```

***

Entry 5:
Ba4Ga | GGA-PBE | optimized geometry

Crystal system = cubic
Offset from the most stable computed form = 0.118 eV per atom

The structure in CIF format:
```
data_Ba4Ga
_chemical_formula_sum 'Ba4 Ga1'
_space_group_name_H-M_alt 'P 1'
_space_group_IT_number 1
_space_group_name_Hall 'P 1'
_cell_length_a 6.656
_cell_length_b 6.656
_cell_length_c 6.656
_cell_angle_alpha 90.00
_cell_angle_beta 90.00
_cell_angle_gamma 90.00
loop_
_atom_site_label
_atom_site_fract_x
_atom_site_fract_y
_atom_site_fract_z
Ba1 0.000 0.000 0.000
Ba2 0.000 0.500 0.500
Ba3 0.500 0.000 0.500
Ba4 0.500 0.500 0.000
Ga1 0.500 0.500 0.500
```

***

Entry 6:
Ba4Ga | GGA-PBE | optimized geometry

Crystal system = orthorhombic
Offset from the most stable computed form = 0.100 eV per atom

The structure in CIF format:
```
data_Ba4Ga
_chemical_formula_sum 'Ba8 Ga2'
_space_group_name_H-M_alt 'P 1'
_space_group_IT_number 1
_space_group_name_Hall 'P 1'
_cell_length_a 8.906
_cell_length_b 8.906
_cell_length_c 8.127
_cell_angle_alpha 90.00
_cell_angle_beta 90.00
_cell_angle_gamma 124.70
loop_
_atom_site_label
_atom_site_fract_x
_atom_site_fract_y
_atom_site_fract_z
Ba1 0.054 0.316 0.049
Ba2 0.184 0.446 0.549
Ba3 0.316 0.054 0.549
Ba4 0.446 0.184 0.049
Ba5 0.554 0.816 0.951
Ba6 0.684 0.946 0.451
Ba7 0.816 0.554 0.451
Ba8 0.946 0.684 0.951
Ga1 0.250 0.750 0.250
Ga2 0.750 0.250 0.750
```

***

Entry 7:
Ba5Ga4 | GGA-PBE | optimized geometry

Crystal system = monoclinic

The structure in CIF format:
```
data_Ba5Ga4
_chemical_formula_sum 'Ba5 Ga4'
_space_group_name_H-M_alt 'P 1'
_space_group_IT_number 1
_space_group_name_Hall 'P 1'
_cell_length_a 5.956
_cell_length_b 5.956
_cell_length_c 11.308
_cell_angle_alpha 105.49
_cell_angle_beta 105.49
_cell_angle_gamma 58.12
loop_
_atom_site_label
_atom_site_fract_x
_atom_site_fract_y
_atom_site_fract_z
Ba1 0.000 0.000 0.000
Ba2 0.123 0.123 0.399
Ba3 0.270 0.270 0.815
Ba4 0.730 0.730 0.185
Ba5 0.877 0.877 0.601
Ga1 0.389 0.389 0.146
Ga2 0.441 0.441 0.382
Ga3 0.559 0.559 0.618
Ga4 0.611 0.611 0.854
```

***

Entry 8:
BaGa5 | GGA-PBE | optimized geometry

Crystal system = monoclinic
Offset from the most stable computed form = 0.000 eV per atom

The structure in CIF format:
```
data_BaGa5
_chemical_formula_sum 'Ba1 Ga5'
_space_group_name_H-M_alt 'P 1'
_space_group_IT_number 1
_space_group_name_Hall 'P 1'
_cell_length_a 4.683
_cell_length_b 4.683
_cell_length_c 7.342
_cell_angle_alpha 90.06
_cell_angle_beta 90.06
_cell_angle_gamma 60.00
loop_
_atom_site_label
_atom_site_fract_x
_atom_site_fract_y
_atom_site_fract_z
Ba1 0.000 0.000 0.000
Ga1 0.000 0.000 0.500
Ga2 0.333 0.333 0.685
Ga3 0.334 0.334 0.315
Ga4 0.666 0.666 0.685
Ga5 0.667 0.667 0.315
```

***

Entry 9:
Ba5Ga | GGA-PBE | optimized geometry

Crystal system = tetragonal
Offset from the most stable computed form = 0.000 eV per atom

The structure in CIF format:
```
data_Ba5Ga
_chemical_formula_sum 'Ba5 Ga1'
_space_group_name_H-M_alt 'P 1'
_space_group_IT_number 1
_space_group_name_Hall 'P 1'
_cell_length_a 4.247
_cell_length_b 4.247
_cell_length_c 17.740
_cell_angle_alpha 90.00
_cell_angle_beta 90.00
_cell_angle_gamma 90.00
loop_
_atom_site_label
_atom_site_fract_x
_atom_site_fract_y
_atom_site_fract_z
Ba1 0.000 0.000 0.000
Ba2 0.000 0.000 0.393
Ba3 0.000 0.000 0.607
Ba4 0.500 0.500 0.192
Ba5 0.500 0.500 0.808
Ga1 0.500 0.500 0.500
```

***

Entry 10:
BaGa7 | GGA-PBE | optimized geometry

Crystal system = monoclinic

The structure in CIF format:
```
data_BaGa7
_chemical_formula_sum 'Ba1 Ga7'
_space_group_name_H-M_alt 'P 1'
_space_group_IT_number 1
_space_group_name_Hall 'P 1'
_cell_length_a 6.566
_cell_length_b 6.566
_cell_length_c 4.920
_cell_angle_alpha 108.77
_cell_angle_beta 108.77
_cell_angle_gamma 67.09
loop_
_atom_site_label
_atom_site_fract_x
_atom_site_fract_y
_atom_site_fract_z
Ba1 0.000 0.000 0.000
Ga1 0.185 0.546 0.355
Ga2 0.255 0.255 0.728
Ga3 0.454 0.815 0.645
Ga4 0.500 0.500 0.000
Ga5 0.546 0.185 0.355
Ga6 0.745 0.745 0.272
Ga7 0.815 0.454 0.645
```

***

Entry 11:
Ba3Ga2 | GGA-PBE | optimized geometry

Crystal system = orthorhombic

The structure in CIF format:
```
data_Ba3Ga2
_chemical_formula_sum 'Ba3 Ga2'
_space_group_name_H-M_alt 'P 1'
_space_group_IT_number 1
_space_group_name_Hall 'P 1'
_cell_length_a 8.738
_cell_length_b 8.738
_cell_length_c 5.236
_cell_angle_alpha 90.00
_cell_angle_beta 90.00
_cell_angle_gamma 149.37
loop_
_atom_site_label
_atom_site_fract_x
_atom_site_fract_y
_atom_site_fract_z
Ba1 0.000 0.000 0.000
Ba2 0.351 0.649 0.500
Ba3 0.649 0.351 0.500
Ga1 0.211 0.789 0.000
Ga2 0.789 0.211 0.000
```

***

Entry 12:
BaGa4 | GGA-PBE | optimized geometry

Crystal system = cubic

The structure in CIF format:
```
data_BaGa4
_chemical_formula_sum 'Ba1 Ga4'
_space_group_name_H-M_alt 'P 1'
_space_group_IT_number 1
_space_group_name_Hall 'P 1'
_cell_length_a 6.015
_cell_length_b 6.015
_cell_length_c 6.015
_cell_angle_alpha 90.00
_cell_angle_beta 90.00
_cell_angle_gamma 90.00
loop_
_atom_site_label
_atom_site_fract_x
_atom_site_fract_y
_atom_site_fract_z
Ba1 0.000 0.000 0.000
Ga1 0.000 0.000 0.500
Ga2 0.000 0.500 0.000
Ga3 0.500 0.000 0.000
Ga4 0.500 0.500 0.500
```

***

ΔH_f (0 K) for the records above, in order: 1.012, 2.093, 1.219, 0.402, -0.047, -0.065, -0.336, -0.291, -0.100, -0.209, -0.285, 0.984 eV/atom
Uncorrected energy for the records above, in order: -17.72, -25.39, -17.39, -41.91, -10.95, -11.05, -24.74, -18.80, -13.24, -24.79, -13.25, -9.11 eV/f.u.